[1]
Here is CsBiSbTe2 after structural relaxation from Alexandria via LeMat-Bulk. Energies are from GGA-PBE.

Lattice parameters (Å, degrees): 6.184 6.184 5.916 90.00 90.00 90.00
Last column: magnetic moment on the atom in μB.
Fractional positions:
Sb 0.000 0.000 0.500  0.38
Bi 0.000 0.000 0.000  -0.02
Cs 0.500 0.500 0.500  0.01
Te 0.500 0.000 0.000  0.06
Te 0.000 0.500 0.000  0.06

Properties
The space group is P4/mmm (123). The uncorrected formation energy comes out at 0.002 eV/atom. For the density of states at the Fermi level, the calculation gives 5.45 states/eV/cell. The value obtained for the energy above the lowest structure with this stoichiometry is 0 meV per atom.


[2]
Here is K4U3TiS8 after structural relaxation from Alexandria via LeMat-Bulk. Energies are from GGA-PBE.

Lattice parameters (Å, degrees): 7.891 8.729 7.891 116.87 120.00 90.00
Last column: magnetic moment on the atom in μB.
Fractional positions:
S 0.747 0.699 0.973  -0.06
K 0.500 0.000 0.000  0.01
K 0.000 0.000 0.000  0.00
Ti 0.000 0.500 0.000  1.29
U 0.000 0.500 0.500  2.54
U 0.500 0.500 0.500  2.54
K 0.000 0.000 0.500  0.00
S 0.253 0.301 0.027  -0.06
U 0.500 0.500 0.000  2.54
S 0.264 0.292 0.528  -0.06
K 0.500 0.000 0.500  0.00
S 0.774 0.301 0.027  -0.06
S 0.736 0.708 0.472  -0.06
S 0.774 0.301 0.548  -0.06
S 0.226 0.699 0.452  -0.06
S 0.226 0.699 0.973  -0.06

Properties
The space group is R-3m (166). The uncorrected formation energy comes out at -1.370 eV/atom. For the density of states at the Fermi level, the calculation gives 13.43 states/eV/cell.


[3]
Here is HgMoBr2 after structural relaxation from Alexandria via LeMat-Bulk. Energies are from GGA-PBE.

Lattice parameters (Å, degrees): 3.526 3.526 11.138 90.00 90.00 125.44
Last column: magnetic moment on the atom in μB.
Fractional positions:
Hg 0.500 0.500 0.250  0.00
Br 0.000 0.000 0.569  0.02
Mo 0.500 0.500 0.750  1.24
Br 0.000 0.000 0.931  0.02

Properties
The space group is Cmmm (65). The uncorrected formation energy comes out at 0.136 eV/atom. For the density of states at the Fermi level, the calculation gives 2.33 states/eV/cell. The value obtained for the energy above the lowest structure with this stoichiometry is 171 meV per atom.


[4]
Here is Na3NpGe2Te6 after structural relaxation from Alexandria via LeMat-Bulk. Energies are from GGA-PBE.

Lattice parameters (Å, degrees): 7.617 7.617 7.789 99.36 99.36 120.02
Last column: magnetic moment on the atom in μB.
Fractional positions:
Te 0.741 0.741 0.220  -0.12
Te 0.927 0.594 0.780  -0.12
Te 0.073 0.406 0.220  -0.12
Ge 0.666 0.334 0.000  -0.03
Na 0.500 0.500 0.500  0.00
Ge 0.334 0.666 0.000  -0.03
Na 0.169 0.831 0.500  0.00
Np 0.000 0.000 0.000  3.23
Na 0.831 0.169 0.500  0.00
Te 0.594 0.927 0.780  -0.12
Te 0.406 0.073 0.220  -0.12
Te 0.259 0.259 0.780  -0.12

Properties
The space group is C2/m (12). The uncorrected formation energy comes out at -0.537 eV/atom. For the density of states at the Fermi level, the calculation gives 9.48 states/eV/cell.


[5]
Here is Ca2OsAuS after structural relaxation from Alexandria via LeMat-Bulk. Energies are from GGA-PBE.

Lattice parameters (Å, degrees): 5.376 4.236 5.376 90.00 90.00 90.00
Fractional positions:
Ca 0.500 0.000 0.000
Ca 0.000 0.000 0.500
Os 0.000 0.500 0.000
S 0.000 0.000 0.000
Au 0.500 0.500 0.500

Properties
The space group is P4/mmm (123). The uncorrected formation energy comes out at -0.348 eV/atom. For the density of states at the Fermi level, the calculation gives 2.45 states/eV/cell.


[6]
Here is KY2Ga2 after structural relaxation from Alexandria via LeMat-Bulk. Energies are from GGA-PBE.

Lattice parameters (Å, degrees): 9.052 9.052 3.309 90.00 90.00 90.00
Fractional positions:
Y 0.370 0.870 0.000
Ga 0.669 0.831 0.500
Y 0.130 0.370 0.000
Y 0.630 0.130 0.000
K 0.500 0.500 0.000
Y 0.870 0.630 0.000
Ga 0.331 0.169 0.500
Ga 0.831 0.331 0.500
Ga 0.169 0.669 0.500
K 0.000 0.000 0.000

Properties
The calculation puts the formation energy at -231 meV/atom. The space group is P4/mbm (127). For the density of states at the Fermi level, the calculation gives 4.78 states/eV/cell. The value obtained for the energy above the lowest structure with this stoichiometry is 0 meV per atom.


[7]
Here is LiAcP2Ir after structural relaxation from Alexandria via LeMat-Bulk. Energies are from GGA-PBE.

Lattice parameters (Å, degrees): 4.164 4.164 6.023 110.23 110.23 90.00
Fractional positions:
Li 0.250 0.750 0.500
Ir 0.750 0.250 0.500
Ac 0.000 0.000 0.000
P 0.633 0.633 0.265
P 0.367 0.367 0.735

Properties
The calculation puts the formation energy at -925 meV/atom. The space group is I-4m2 (119). For the density of states at the Fermi level, the calculation gives 2.35 states/eV/cell.


[8]
Here is Pm8Sn3Te2 after structural relaxation from Alexandria via LeMat-Bulk. Energies are from GGA-PBE.

Lattice parameters (Å, degrees): 7.782 8.540 9.003 118.31 107.90 90.00
Fractional positions:
Pm 0.923 0.114 0.227
Sn 0.500 0.000 0.000
Pm 0.408 0.368 0.224
Pm 0.592 0.632 0.776
Te 0.347 0.244 0.488
Pm 0.818 0.595 0.189
Pm 0.182 0.405 0.811
Sn 0.000 0.268 0.000
Sn 0.000 0.732 0.000
Pm 0.592 0.143 0.776
Pm 0.077 0.886 0.773
Te 0.653 0.756 0.512
Pm 0.408 0.857 0.224

Properties
The space group is C2/m (12). The uncorrected formation energy comes out at -0.547 eV/atom. For the density of states at the Fermi level, the calculation gives 14.52 states/eV/cell.


[9]
Here is LiLa3Tb2Te6 after structural relaxation from Alexandria via LeMat-Bulk. Energies are from GGA-PBE.

Lattice parameters (Å, degrees): 4.471 8.918 9.982 102.62 102.94 90.00
Fractional positions:
Li 0.500 0.000 0.000
Te 0.004 0.235 0.008
Tb 0.832 0.662 0.665
La 0.500 0.500 0.000
Te 0.661 0.091 0.321
La 0.166 0.833 0.333
Te 0.339 0.909 0.679
Te 0.331 0.423 0.662
Te 0.669 0.577 0.338
Te 0.996 0.765 0.992
Tb 0.168 0.338 0.335
La 0.834 0.167 0.667

Properties
The space group is C2/m (12). The uncorrected formation energy comes out at -1.444 eV/atom. For the density of states at the Fermi level, the calculation gives 5.17 states/eV/cell.


[10]
Here is WCl2 after structural relaxation from Alexandria via LeMat-Bulk. Energies are from GGA-PBE.

Lattice parameters (Å, degrees): 8.239 8.239 5.047 90.00 90.00 158.64
Fractional positions:
Cl 0.342 0.658 0.250
Cl 0.658 0.342 0.750
Cl 0.898 0.102 0.750
W 0.278 0.722 0.750
W 0.722 0.278 0.250
Cl 0.102 0.898 0.250

Properties
The space group is Cmcm (63). The uncorrected formation energy comes out at -0.160 eV/atom. For the density of states at the Fermi level, the calculation gives 1.60 states/eV/cell. The value obtained for the energy above the lowest structure with this stoichiometry is 570 meV per atom.


[11]
Here is Sr2LiScAu6 after structural relaxation from Alexandria via LeMat-Bulk. Energies are from GGA-PBE.

Lattice parameters (Å, degrees): 7.055 7.055 6.970 60.45 60.45 89.98
Fractional positions:
Au 0.235 0.235 0.528
Au 0.765 0.765 0.472
Au 0.236 0.764 0.000
Sr 0.749 0.251 0.500
Sr 0.251 0.749 0.500
Au 0.764 0.236 0.000
Sc 0.500 0.500 0.000
Li 0.000 0.000 0.000
Au 0.235 0.235 0.002
Au 0.765 0.765 0.998

Properties
The calculation puts the formation energy at -463 meV/atom. The space group is C2/m (12). For the density of states at the Fermi level, the calculation gives 3.69 states/eV/cell.


| no. | ρ (g/cm³) |
| --- | --- |
| 1 | 5.28 |
| 2 | 4.86 |
| 3 | 6.72 |
| 4 | 5.46 |
| 5 | 6.77 |
| 6 | 4.36 |
| 7 | 8.90 |
| 8 | 5.96 |
| 9 | 6.62 |
| 10 | 6.78 |
| 11 | 9.41 |